DFT (GGA+U) results for crystalline Tm3Co2B2O3 at its relaxed geometry.

Summary:
Raw total energy (eV/atom): -6.8462
Crystal system: tetragonal

Cell: 10.807 10.807 10.807 Å, 162.07 162.07 25.46°
Atoms (fractional coordinates):
1 Tm 0.000 0.000 0.000
2 Tm 0.362 0.362 0.000
3 Tm 0.638 0.638 0.000
4 Co 0.250 0.750 0.500
5 Co 0.750 0.250 0.500
6 B 0.208 0.208 0.000
7 B 0.792 0.792 0.000
8 O 0.102 0.102 0.000
9 O 0.500 0.500 0.000
10 O 0.898 0.898 0.000